Record 1
# YCoRh, relaxed, DFT PBE
data_YCoRh
_chemical_formula_sum 'Y1 Co1 Rh1'
_cell_length_a 4.0732
_cell_length_b 4.0732
_cell_length_c 3.9370
_cell_angle_alpha 90.00
_cell_angle_beta 90.00
_cell_angle_gamma 120.00
_space_group_name_H-M_alt 'P -6 m 2'
_space_group_IT_number 187
_space_group_name_Hall 'P -6 2'
loop_
_atom_site_label
_atom_site_fract_x
_atom_site_fract_y
_atom_site_fract_z
Y1 0.0000 0.0000 0.0000
Co1 0.3333 0.6667 0.5000
Rh1 0.6667 0.3333 0.5000
# * mass density: 7.4 g/cm3
# * D(E_F): 2.81 states/eV/f.u.
# * DFT total energy: -22.03 eV per formula unit
# * volume: 57 Å³/cell
# * formation enthalpy at 0 K: -1.1 eV per formula unit
# * magnetization: 1.16 μB per formula unit

Record 2
# AlSb2C, relaxed, DFT PBE
data_AlSb2C
_chemical_formula_sum 'Al4 Sb8 C4'
_cell_length_a 5.715
_cell_length_b 5.715
_cell_length_c 11.522
_cell_angle_alpha 90.00
_cell_angle_beta 90.00
_cell_angle_gamma 90.00
_space_group_name_H-M_alt 'I -4 2 d'
_space_group_IT_number 122
_space_group_name_Hall 'I -4 2bw'
loop_
_atom_site_label
_atom_site_fract_x
_atom_site_fract_y
_atom_site_fract_z
Al1 0.000 0.000 0.000
Sb1 0.191 0.250 0.625
C1 0.000 0.000 0.500
# * mass density: 5.0 g/cm3
# * D(E_F): 2.29 states/eV/f.u.
# * DFT total energy: -18.12 eV per formula unit
# * raw formation energy: 74.7 kJ/mol of atoms
# * volume: 376 Å³/cell
# * relative energy among the computed polymorphs: 0.0 meV per atom
# * magnetization: 0.00 μB per formula unit

Record 3
# Pm2Mg2ZnGa4, relaxed, DFT PBE
data_Pm2Mg2ZnGa4
_chemical_formula_sum 'Pm4 Mg4 Zn2 Ga8'
_cell_length_a 6.472
_cell_length_b 6.472
_cell_length_c 9.118
_cell_angle_alpha 90.00
_cell_angle_beta 90.00
_cell_angle_gamma 90.00
_space_group_name_H-M_alt 'I 4/m m m'
_space_group_IT_number 139
_space_group_name_Hall '-I 4 2'
loop_
_atom_site_label
_atom_site_fract_x
_atom_site_fract_y
_atom_site_fract_z
Pm1 0.000 0.500 0.250
Mg1 0.000 0.000 0.215
Zn1 0.000 0.000 0.500
Ga1 0.219 0.219 0.000
# * mass density: 5.9 g/cm3
# * D(E_F): 4.61 states/eV/f.u.
# * DFT total energy: -29.30 eV per formula unit
# * volume: 382 Å³/cell
# * formation enthalpy at 0 K: -3.2 eV per formula unit
# * magnetization: 0.00 μB per formula unit

Record 4
# Pm6GaCo2, relaxed, DFT PBE
data_Pm6GaCo2
_chemical_formula_sum 'Pm24 Ga4 Co8'
_cell_length_a 9.480
_cell_length_b 9.863
_cell_length_c 10.100
_cell_angle_alpha 90.00
_cell_angle_beta 90.00
_cell_angle_gamma 90.00
_space_group_name_H-M_alt 'I m m m'
_space_group_IT_number 71
_space_group_name_Hall '-I 2 2'
loop_
_atom_site_label
_atom_site_fract_x
_atom_site_fract_y
_atom_site_fract_z
Pm1 0.000 0.196 0.238
Pm2 0.186 0.500 0.174
Pm3 0.219 0.320 0.500
Ga1 0.000 0.000 0.000
Ga2 0.000 0.000 0.500
Co1 0.000 0.335 0.000
Co2 0.000 0.500 0.388
# * mass density: 7.4 g/cm3
# * D(E_F): 7.37 states/eV/f.u.
# * DFT total energy: -47.58 eV per formula unit
# * volume: 944 Å³/cell
# * formation enthalpy at 0 K: -1.8 eV per formula unit
# * magnetization: 0.00 μB per formula unit

Record 5
# TePdCl2, relaxed, DFT PBE
data_TePdCl2
_chemical_formula_sum 'Te4 Pd4 Cl8'
_cell_length_a 9.781
_cell_length_b 9.781
_cell_length_c 5.231
_cell_angle_alpha 90.00
_cell_angle_beta 90.00
_cell_angle_gamma 90.00
_space_group_name_H-M_alt 'I 41/a m d'
_space_group_IT_number 141
loop_
_space_group_symop_operation_xyz
'x,y,z'
'-x,-y,-z'
'-y+1/4,x+3/4,z+1/4'
'y+1/4,-x+3/4,-z+1/4'
'-x+1/2,-y,z+1/2'
'x+1/2,y,-z+1/2'
'y+1/4,-x+1/4,z+3/4'
'-y+1/4,x+1/4,-z+3/4'
'x,-y,-z'
'-x,y,z'
'-y+1/4,-x+1/4,-z+3/4'
'y+1/4,x+1/4,z+3/4'
'-x+1/2,y,-z+1/2'
'x+1/2,-y,z+1/2'
'y+1/4,x+3/4,-z+1/4'
'-y+1/4,-x+3/4,z+1/4'
'x+1/2,y+1/2,z+1/2'
'-x+1/2,-y+1/2,-z+1/2'
'-y+3/4,x+1/4,z+3/4'
'y+3/4,-x+1/4,-z+3/4'
'-x,-y+1/2,z'
'x,y+1/2,-z'
'y+3/4,-x+3/4,z+1/4'
'-y+3/4,x+3/4,-z+1/4'
'x+1/2,-y+1/2,-z+1/2'
'-x+1/2,y+1/2,z+1/2'
'-y+3/4,-x+3/4,-z+1/4'
'y+3/4,x+3/4,z+1/4'
'-x,y+1/2,-z'
'x,-y+1/2,z'
'y+3/4,x+1/4,-z+3/4'
'-y+3/4,-x+1/4,z+3/4'
loop_
_atom_site_label
_atom_site_fract_x
_atom_site_fract_y
_atom_site_fract_z
Te1 0.000 0.250 0.375
Pd1 0.000 0.250 0.875
Cl1 0.000 0.000 0.000
# * mass density: 4.0 g/cm3
# * D(E_F): 3.31 states/eV/f.u.
# * DFT total energy: -12.12 eV per formula unit
# * raw formation energy: -2.3 kJ/mol of atoms
# * volume: 501 Å³/cell
# * magnetization: 0.00 μB per formula unit

Record 6
# Ga2H2Rh5, relaxed, DFT PBE
data_Ga2H2Rh5
_chemical_formula_sum 'Ga2 H2 Rh5'
_cell_length_a 3.988
_cell_length_b 3.988
_cell_length_c 6.847
_cell_angle_alpha 90.00
_cell_angle_beta 90.00
_cell_angle_gamma 90.00
_space_group_name_H-M_alt 'P 4/m m m'
_space_group_IT_number 123
_space_group_name_Hall '-P 4 2'
loop_
_atom_site_label
_atom_site_fract_x
_atom_site_fract_y
_atom_site_fract_z
Ga1 0.000 0.000 0.000
Ga2 0.000 0.000 0.500
H1 0.500 0.500 0.212
Rh1 0.000 0.500 0.229
Rh2 0.500 0.500 0.500
# * mass density: 10.0 g/cm3
# * D(E_F): 8.02 states/eV/f.u.
# * DFT total energy: -51.75 eV per formula unit
# * volume: 109 Å³/cell
# * magnetization: 0.00 μB per formula unit